No. 1
# CrFeCu2 PBE-GGA relaxed
# - Energy relative to the elements: 0.244 eV/atom
# - Magnetization: 0.427 μB/atom
data_CrFeCu2
_chemical_formula_sum 'Cr1 Fe1 Cu2'
_cell_length_a 2.416
_cell_length_b 4.029
_cell_length_c 4.892
_cell_angle_alpha 90.00
_cell_angle_beta 99.15
_cell_angle_gamma 90.00
_space_group_name_H-M_alt 'P 1'
_space_group_IT_number 1
loop_
_space_group_symop_operation_xyz
'x,y,z'
loop_
_atom_site_label
_atom_site_fract_x
_atom_site_fract_y
_atom_site_fract_z
Cr1 0.000 0.000 0.000
Fe1 0.183 0.500 0.771
Cu1 0.471 0.000 0.510
Cu2 0.687 0.500 0.264

---

No. 2
# Cr2Fe2Cu PBE-GGA relaxed
# - Energy relative to the elements: 0.483 eV/atom
# - Magnetization: 0.000 μB/atom
# - Energy above the most stable polymorph in this dataset: 23.2 kJ/mol of atoms
data_Cr2Fe2Cu
_chemical_formula_sum 'Cr2 Fe2 Cu1'
_cell_length_a 5.302
_cell_length_b 5.302
_cell_length_c 5.302
_cell_angle_alpha 138.91
_cell_angle_beta 138.91
_cell_angle_gamma 59.51
_space_group_name_H-M_alt 'P 1'
_space_group_IT_number 1
loop_
_space_group_symop_operation_xyz
'x,y,z'
loop_
_atom_site_label
_atom_site_fract_x
_atom_site_fract_y
_atom_site_fract_z
Cr1 0.250 0.750 0.500
Cr2 0.750 0.250 0.500
Fe1 0.116 0.116 0.000
Fe2 0.884 0.884 0.000
Cu1 0.500 0.500 0.000

---

No. 3
# CrFeCu2 PBE-GGA relaxed
# - Energy relative to the elements: 0.264 eV/atom
# - Magnetization: 0.284 μB/atom
data_CrFeCu2
_chemical_formula_sum 'Cr1 Fe1 Cu2'
_cell_length_a 2.436
_cell_length_b 3.956
_cell_length_c 4.882
_cell_angle_alpha 90.00
_cell_angle_beta 90.00
_cell_angle_gamma 90.00
_space_group_name_H-M_alt 'P 1'
_space_group_IT_number 1
loop_
_space_group_symop_operation_xyz
'x,y,z'
loop_
_atom_site_label
_atom_site_fract_x
_atom_site_fract_y
_atom_site_fract_z
Cr1 0.000 0.000 0.000
Fe1 0.000 0.000 0.500
Cu1 0.500 0.500 0.251
Cu2 0.500 0.500 0.749

---

No. 4
# Cr4FeCu PBE-GGA relaxed
# - Energy relative to the elements: 0.325 eV/atom
# - Magnetization: 0.197 μB/atom
data_Cr4FeCu
_chemical_formula_sum 'Cr4 Fe1 Cu1'
_cell_length_a 4.668
_cell_length_b 4.668
_cell_length_c 4.668
_cell_angle_alpha 60.00
_cell_angle_beta 60.00
_cell_angle_gamma 60.00
_space_group_name_H-M_alt 'P 1'
_space_group_IT_number 1
loop_
_space_group_symop_operation_xyz
'x,y,z'
loop_
_atom_site_label
_atom_site_fract_x
_atom_site_fract_y
_atom_site_fract_z
Cr1 0.124 0.124 0.124
Cr2 0.124 0.124 0.628
Cr3 0.124 0.628 0.124
Cr4 0.628 0.124 0.124
Fe1 0.500 0.500 0.500
Cu1 0.750 0.750 0.750

---

No. 5
# CrFeCu3 PBE-GGA relaxed
# - Energy relative to the elements: 1.478 eV/atom
# - Magnetization: 1.385 μB/atom
# - Energy above the most stable polymorph in this dataset: 0.0 kJ/mol of atoms
data_CrFeCu3
_chemical_formula_sum 'Cr1 Fe1 Cu3'
_cell_length_a 4.448
_cell_length_b 4.448
_cell_length_c 4.448
_cell_angle_alpha 90.00
_cell_angle_beta 90.00
_cell_angle_gamma 90.00
_space_group_name_H-M_alt 'P 1'
_space_group_IT_number 1
loop_
_space_group_symop_operation_xyz
'x,y,z'
loop_
_atom_site_label
_atom_site_fract_x
_atom_site_fract_y
_atom_site_fract_z
Cr1 0.000 0.000 0.000
Fe1 0.500 0.500 0.500
Cu1 0.000 0.000 0.500
Cu2 0.000 0.500 0.000
Cu3 0.500 0.000 0.000

---

No. 6
# CrFe3Cu PBE-GGA relaxed
# - Energy relative to the elements: 1.206 eV/atom
# - Magnetization: 0.880 μB/atom
# - Energy above the most stable polymorph in this dataset: 0.0 kJ/mol of atoms
data_CrFe3Cu
_chemical_formula_sum 'Cr1 Fe3 Cu1'
_cell_length_a 4.185
_cell_length_b 4.185
_cell_length_c 4.185
_cell_angle_alpha 90.00
_cell_angle_beta 90.00
_cell_angle_gamma 90.00
_space_group_name_H-M_alt 'P 1'
_space_group_IT_number 1
loop_
_space_group_symop_operation_xyz
'x,y,z'
loop_
_atom_site_label
_atom_site_fract_x
_atom_site_fract_y
_atom_site_fract_z
Cr1 0.000 0.000 0.000
Fe1 0.000 0.000 0.500
Fe2 0.000 0.500 0.000
Fe3 0.500 0.000 0.000
Cu1 0.500 0.500 0.500

---

No. 7
# CrFeCu2 PBE-GGA relaxed
# - Energy relative to the elements: 0.214 eV/atom
# - Magnetization: 0.276 μB/atom
data_CrFeCu2
_chemical_formula_sum 'Cr1 Fe1 Cu2'
_cell_length_a 2.650
_cell_length_b 3.486
_cell_length_c 5.207
_cell_angle_alpha 90.00
_cell_angle_beta 90.00
_cell_angle_gamma 90.00
_space_group_name_H-M_alt 'P 1'
_space_group_IT_number 1
loop_
_space_group_symop_operation_xyz
'x,y,z'
loop_
_atom_site_label
_atom_site_fract_x
_atom_site_fract_y
_atom_site_fract_z
Cr1 0.000 0.000 0.000
Fe1 0.500 0.500 0.785
Cu1 0.000 0.000 0.515
Cu2 0.500 0.500 0.281

---

No. 8
# CrFeCu2 PBE-GGA relaxed
# - Energy relative to the elements: 0.156 eV/atom
# - Magnetization: 0.487 μB/atom
data_CrFeCu2
_chemical_formula_sum 'Cr1 Fe1 Cu2'
_cell_length_a 2.450
_cell_length_b 2.450
_cell_length_c 8.195
_cell_angle_alpha 90.00
_cell_angle_beta 90.00
_cell_angle_gamma 107.25
_space_group_name_H-M_alt 'P 1'
_space_group_IT_number 1
loop_
_space_group_symop_operation_xyz
'x,y,z'
loop_
_atom_site_label
_atom_site_fract_x
_atom_site_fract_y
_atom_site_fract_z
Cr1 0.000 0.000 0.000
Fe1 0.500 0.500 0.239
Cu1 0.000 0.000 0.492
Cu2 0.500 0.500 0.743